1.
The following is a GGA-PBE calculation of a relaxed structure of Sc2BeW, from OQMD.

Output
**Total moment**: 0.1 μB/cell
**Final energy**: -27.6 eV per formula unit

Structure (POSCAR):
```
Sc2BeW
1.0
6.448 0.000 0.000
0.000 6.448 0.000
0.000 0.000 6.448
Sc Be W
8 4 4
Direct
0.000 0.000 0.000
0.000 0.500 0.500
0.250 0.250 0.250
0.250 0.750 0.750
0.500 0.000 0.500
0.500 0.500 0.000
0.750 0.250 0.750
0.750 0.750 0.250
0.000 0.000 0.500
0.000 0.500 0.000
0.500 0.000 0.000
0.500 0.500 0.500
0.250 0.250 0.750
0.250 0.750 0.250
0.750 0.250 0.250
0.750 0.750 0.750
```

=====

2.
The following is a GGA-PBE calculation of a relaxed structure of LiAlBAu, from OQMD.

Output
**Final energy**: -14.5 eV per formula unit

Structure (POSCAR):
```
LiAlBAu
1.0
5.902 0.000 0.000
0.000 5.902 0.000
0.000 0.000 5.902
Li Al B Au
4 4 4 4
Direct
0.000 0.000 0.000
0.000 0.500 0.500
0.500 0.000 0.500
0.500 0.500 0.000
0.250 0.250 0.750
0.250 0.750 0.250
0.750 0.250 0.250
0.750 0.750 0.750
0.250 0.250 0.250
0.250 0.750 0.750
0.750 0.250 0.750
0.750 0.750 0.250
0.000 0.000 0.500
0.000 0.500 0.000
0.500 0.000 0.000
0.500 0.500 0.500
```

=====

3.
The following is a GGA-PBE calculation of a relaxed structure of Na2Mg2GaSnPt2, from OQMD.

Output
**Total moment**: 0.0 μB/cell
**Final energy**: -28.2 eV per formula unit

Structure (POSCAR):
```
Na2Mg2GaSnPt2
1.0
4.648 0.000 0.000
0.000 4.648 0.000
0.000 0.000 6.663
Na Mg Ga Sn Pt
2 2 1 1 2
Direct
0.000 0.500 0.235
0.500 0.000 0.765
0.000 0.000 0.000
0.500 0.500 0.500
0.500 0.500 0.000
0.000 0.000 0.500
0.000 0.500 0.758
0.500 0.000 0.242
```

=====

4.
The following is a GGA-PBE calculation of a relaxed structure of TcGe, from OQMD.

Output
**Total moment**: 0.0 μB/cell
**Final energy**: -15.1 eV per formula unit

Structure (POSCAR):
```
TcGe
1.0
3.063 0.000 0.000
0.000 3.063 0.000
0.000 0.000 3.063
Tc Ge
1 1
Direct
0.000 0.000 0.000
0.500 0.500 0.500
```

=====

5.
The following is a GGA-PBE calculation of a relaxed structure of Cu5B2P, from OQMD.

Output
**Final energy**: -35.8 eV per formula unit

Structure (POSCAR):
```
Cu5B2P
1.0
-2.790 2.790 5.660
2.790 -2.790 5.660
2.790 2.790 -5.660
Cu B P
10 4 2
Direct
0.000 0.000 0.000
0.049 0.549 0.870
0.179 0.049 0.500
0.321 0.821 0.870
0.451 0.321 0.500
0.500 0.500 0.000
0.549 0.679 0.500
0.679 0.179 0.130
0.821 0.951 0.500
0.951 0.451 0.130
0.105 0.395 0.500
0.395 0.895 0.290
0.605 0.105 0.710
0.895 0.605 0.500
0.250 0.250 0.000
0.750 0.750 0.000
```

=====

6.
The following is a GGA-PBE calculation of a relaxed structure of BaReO3, from OQMD.

Output
**Total moment**: 0.0 μB/cell
**Final energy**: -37.4 eV per formula unit

Structure (POSCAR):
```
BaReO3
1.0
5.099 0.000 0.000
0.000 9.565 0.000
0.000 0.000 6.782
Ba Re O
4 4 12
Direct
0.000 0.000 0.000
0.000 0.500 0.000
0.500 0.000 0.500
0.500 0.500 0.500
0.002 0.250 0.467
0.498 0.750 0.967
0.502 0.250 0.033
0.998 0.750 0.533
0.021 0.102 0.632
0.021 0.398 0.632
0.173 0.250 0.201
0.327 0.750 0.701
0.479 0.602 0.132
0.479 0.898 0.132
0.521 0.102 0.868
0.521 0.398 0.868
0.673 0.250 0.299
0.827 0.750 0.799
0.979 0.602 0.368
0.979 0.898 0.368
```

=====

7.
The following is a GGA-PBE calculation of a relaxed structure of KNdH2S2O9, from OQMD.

Output
**Total moment**: 0.0 μB/cell
**Final energy**: -93.3 eV per formula unit

Structure (POSCAR):
```
KNdH2S2O9
1.0
9.989 0.000 0.000
0.000 8.108 0.000
-4.721 0.000 8.980
K Nd H S O
4 4 8 8 36
Direct
0.215 0.180 0.189
0.215 0.320 0.689
0.785 0.680 0.311
0.785 0.820 0.811
0.266 0.664 0.043
0.266 0.836 0.543
0.734 0.164 0.457
0.734 0.336 0.957
0.257 0.509 0.409
0.257 0.991 0.909
0.390 0.017 0.075
0.390 0.483 0.575
0.610 0.517 0.425
0.610 0.983 0.925
0.743 0.009 0.091
0.743 0.491 0.591
0.040 0.644 0.175
0.040 0.856 0.675
0.485 0.699 0.899
0.485 0.801 0.399
0.515 0.199 0.601
0.515 0.301 0.101
0.960 0.144 0.325
0.960 0.356 0.825
0.047 0.732 0.571
0.047 0.768 0.071
0.057 0.722 0.313
0.057 0.778 0.813
0.109 0.060 0.395
0.109 0.440 0.895
0.167 0.525 0.209
0.167 0.975 0.709
0.288 0.533 0.516
0.288 0.967 0.016
0.333 0.619 0.832
0.333 0.881 0.332
0.399 0.094 0.608
0.399 0.406 0.108
0.472 0.649 0.310
0.472 0.851 0.810
0.477 0.242 0.445
0.477 0.258 0.945
0.523 0.742 0.055
0.523 0.758 0.555
0.528 0.149 0.190
0.528 0.351 0.690
0.601 0.594 0.892
0.601 0.906 0.392
0.667 0.119 0.668
0.667 0.381 0.168
0.712 0.033 0.984
0.712 0.467 0.484
0.833 0.025 0.291
0.833 0.475 0.791
0.891 0.560 0.105
0.891 0.940 0.605
0.943 0.222 0.187
0.943 0.278 0.687
0.953 0.232 0.929
0.953 0.268 0.429
```

=====

8.
The following is a GGA-PBE calculation of a relaxed structure of Re5W, from OQMD.

Output
**Formation enthalpy at 0 K**: 0.229 eV per atom
**Total moment**: 0.0 μB/cell
**Final energy**: -73.7 eV per formula unit

Structure (POSCAR):
```
Re5W
1.0
5.096 0.000 0.000
-2.548 4.414 0.000
0.000 0.000 16.636
Re W
20 4
Direct
0.000 0.500 0.000
0.000 0.500 0.500
0.160 0.320 0.250
0.160 0.840 0.250
0.320 0.160 0.750
0.333 0.667 0.127
0.333 0.667 0.373
0.333 0.667 0.658
0.333 0.667 0.842
0.500 0.000 0.000
0.500 0.000 0.500
0.500 0.500 0.000
0.500 0.500 0.500
0.667 0.333 0.158
0.667 0.333 0.342
0.667 0.333 0.627
0.667 0.333 0.873
0.680 0.840 0.250
0.840 0.160 0.750
0.840 0.680 0.750
0.000 0.000 0.092
0.000 0.000 0.408
0.000 0.000 0.592
0.000 0.000 0.908
```